VASP calculation (PBE) on a relaxed SmNiTe2 crystal.

Cell lengths 3.7571, 3.7571, 9.3418 Å; angles 78.40, 78.40, 60.00 degrees
Atoms (fractional coordinates):
Ni1 0.5000 0.5000 0.5000
Te1 0.1142 0.1142 0.6575
Te2 0.8858 0.8858 0.3425
Sm1 0.0000 0.0000 0.0000

* raw formation energy: -0.208 eV per atom
* space group: R-3m, No. 166
* uncorrected energy: -4.40 eV/atom

---

VASP calculation (PBE) on a relaxed BePb crystal.

Cell lengths 4.4082, 4.4082, 16.0348 Å; angles 90.00, 90.00, 120.00 degrees
Atoms (fractional coordinates):
Pb1 0.0000 0.0000 0.2513
Pb2 0.0000 0.0000 0.7487
Pb3 0.3333 0.6667 0.5705
Pb4 0.3333 0.6667 0.0907
Pb5 0.6667 0.3333 0.9093
Pb6 0.6667 0.3333 0.4295
Be1 0.0000 0.0000 0.0678
Be2 0.0000 0.0000 0.9322
Be3 0.3333 0.6667 0.3907
Be4 0.3333 0.6667 0.2589
Be5 0.6667 0.3333 0.7411
Be6 0.6667 0.3333 0.6093

* space group: P-3m1, No. 164
* formation energy from the elements: 0.6240 eV per atom
* ΔE to the lowest computed polymorph: 320.5 meV/atom
* uncorrected energy: -3.09 eV/atom

---

VASP calculation (PBE) on a relaxed Ba4TmRu3O12 crystal.

Cell lengths 7.1625, 7.1625, 7.1625 Å; angles 109.47, 109.47, 109.47 degrees
Atoms (fractional coordinates):
Ba1 0.5000 0.5000 0.5000
Ba2 0.0000 0.0000 0.5000
Ba3 0.5000 0.0000 0.0000
Ba4 0.0000 0.5000 0.0000
Tm1 0.0000 0.0000 0.0000
Ru1 0.5000 0.0000 0.5000
Ru2 0.5000 0.5000 0.0000
Ru3 0.0000 0.5000 0.5000
O1 0.2500 0.5000 0.7500
O2 0.7375 0.0000 0.7375
O3 0.2625 0.0000 0.2625
O4 0.7500 0.5000 0.2500
O5 0.7375 0.7375 0.0000
O6 0.2625 0.2625 0.0000
O7 0.7500 0.2500 0.5000
O8 0.2500 0.7500 0.5000
O9 0.5000 0.2500 0.7500
O10 0.0000 0.7375 0.7375
O11 0.5000 0.7500 0.2500
O12 0.0000 0.2625 0.2625

* raw formation energy: -2.061 eV per atom
* space group: Im-3m, No. 229
* uncorrected energy: -7.04 eV/atom

---

VASP calculation (PBE) on a relaxed Pr4YEr3 crystal.

Cell lengths 3.6464, 6.2781, 12.2629 Å; angles 75.29, 98.55, 90.00 degrees
Atoms (fractional coordinates):
Pr1 0.3768 0.4569 0.7537
Pr2 0.6232 0.5431 0.2463
Pr3 0.7480 0.7546 0.4960
Pr4 0.2520 0.2454 0.5040
Y1 0.5000 0.0000 0.0000
Er1 0.0000 0.5000 0.0000
Er2 0.1226 0.0460 0.2451
Er3 0.8774 0.9540 0.7549

* space group: C2/m, No. 12
* formation energy from the elements: 0.0104 eV per atom
* ΔE to the lowest computed polymorph: 0.0 meV/atom
* uncorrected energy: -4.90 eV/atom

---

Q: What is the uncorrected energy in the first record?
A: -4.40 eV/atom

---

Q: The lowest uncorrected energy belongs to which entry?
A: Ba4TmRu3O12

---

Repeat the fourth record exactly.
VASP calculation (PBE) on a relaxed Pr4YEr3 crystal.

Cell lengths 3.6464, 6.2781, 12.2629 Å; angles 75.29, 98.55, 90.00 degrees
Atoms (fractional coordinates):
Pr1 0.3768 0.4569 0.7537
Pr2 0.6232 0.5431 0.2463
Pr3 0.7480 0.7546 0.4960
Pr4 0.2520 0.2454 0.5040
Y1 0.5000 0.0000 0.0000
Er1 0.0000 0.5000 0.0000
Er2 0.1226 0.0460 0.2451
Er3 0.8774 0.9540 0.7549

* space group: C2/m, No. 12
* formation energy from the elements: 0.0104 eV per atom
* ΔE to the lowest computed polymorph: 0.0 meV/atom
* uncorrected energy: -4.90 eV/atom

---

Q: Which of these has the highest uncorrected energy?
A: BePb